This record from Alexandria via LeMat-Bulk describes a relaxed structure of KRb2NbF6. The functional is GGA-PBEsol.

It has space group Fm-3m (No. 225), with a = 9.1178 Å, b = 9.1178 Å, c = 9.1178 Å, α = 90.00°, β = 90.00° and γ = 90.00°. The inequivalent atoms are K at (0.0000, 0.0000, 0.0000), Rb at (0.2500, 0.2500, 0.2500), Nb at (0.0000, 0.0000, 0.5000) and F at (0.0000, 0.0000, 0.2715).



This record from Alexandria via LeMat-Bulk describes a relaxed structure of K3Ni2F7. The functional is GGA-PBEsol.

It has space group I4/mmm (No. 139), with a = 3.9916 Å, b = 3.9916 Å, c = 20.8726 Å, α = 90.00°, β = 90.00° and γ = 90.00°. The inequivalent atoms are K at (0.0000, 0.0000, 0.0000), K at (0.0000, 0.0000, 0.1841), Ni at (0.0000, 0.0000, 0.4033), F at (0.0000, 0.0000, 0.3086), F at (0.0000, 0.0000, 0.5000) and F at (0.0000, 0.5000, 0.0951).



This record from Alexandria via LeMat-Bulk describes a relaxed structure of K3NiF6. The functional is GGA-PBEsol.

It has space group Fm-3m (No. 225), with a = 8.5880 Å, b = 8.5880 Å, c = 8.5880 Å, α = 90.00°, β = 90.00° and γ = 90.00°. The inequivalent atoms are K at (0.0000, 0.0000, 0.0000), K at (0.2500, 0.2500, 0.2500), Ni at (0.0000, 0.0000, 0.5000) and F at (0.0000, 0.0000, 0.2827).



This record from Alexandria via LeMat-Bulk describes a relaxed structure of KNiRuF2. The functional is GGA-PBEsol.

It has space group P4/mmm (No. 123), with a = 4.0171 Å, b = 4.0171 Å, c = 6.5746 Å, α = 90.00°, β = 90.00° and γ = 90.00°. The inequivalent atoms are K at (0.0000, 0.0000, 0.0000), Ni at (0.5000, 0.5000, 0.0000), Ru at (0.0000, 0.0000, 0.5000) and F at (0.0000, 0.5000, 0.5000).



This record from Alexandria via LeMat-Bulk describes a relaxed structure of KOsO2F. The functional is GGA-PBEsol.

It has space group P4/mmm (No. 123), with a = 3.7754 Å, b = 3.7754 Å, c = 4.7771 Å, α = 90.00°, β = 90.00° and γ = 90.00°. The inequivalent atoms are K at (0.0000, 0.0000, 0.0000), Os at (0.5000, 0.5000, 0.5000), O at (0.0000, 0.5000, 0.5000) and F at (0.5000, 0.5000, 0.0000).



This record from Alexandria via LeMat-Bulk describes a relaxed structure of K2PO3F. The functional is GGA-PBEsol.

It has space group Pnma (No. 62), with a = 7.5824 Å, b = 5.9368 Å, c = 10.0460 Å, α = 90.00°, β = 90.00° and γ = 90.00°. The inequivalent atoms are K at (0.0133, 0.2500, 0.2215), K at (0.1755, 0.2500, 0.5712), P at (0.2374, 0.2500, 0.9093), O at (0.1726, 0.7500, 0.5446), O at (0.2417, 0.5342, 0.3301) and F at (0.0248, 0.2500, 0.9478).



Taking the records one at a time from the top gives total DFT energy (no corrections) values of -5.2790 -4.6777 -4.4730 -4.0100 -6.5612 -6.1004 eV per atom.
Taking the records one at a time from the top gives formation energy (no corrections) values of -2.722 -2.244 -2.361 0.254 -1.406 -2.424 eV per atom.